{"formula": "TlCd2GeAu", "functional": "PBE", "state": "relaxed", "cell": [[-4.638, 2.115, 2.143], [-3.010, -3.143, -3.412], [-0.082, -3.799, 3.572]], "species": ["Tl", "Au", "Ge", "Cd", "Cd"], "fractional_positions": [[0.000, 0.000, 0.000], [0.000, 0.000, 0.500], [0.500, 0.500, 0.500], [0.000, 0.500, 0.000], [0.500, 0.000, 0.000]], "density_g_cm3": 7.3, "magmom_total_mub_per_cell": 0.00, "formation_enthalpy_0k_ev_per_fu": 3.79, "space_group": "P4/mmm, No. 123"}